Here is a relaxed Nd4Sm2Y2Tm crystal from Alexandria via LeMat-Bulk. Energies are from PBE.

Output
calculated formation energy	17	kJ/mol of formula units
SG	No. 12

Cell lengths 5.1327, 8.1238, 8.0855 Å; angles 107.59, 90.00, 108.42 degrees
Last column: nearest neighbours and their distance in Å.
Sites, in units of the cell vectors:
Nd 0.7780 0.5560 0.6677  1 Tm 3.62, 3 Y 3.62-3.63, 5 Nd 3.63-3.64, 3 Sm 3.64-3.65
Nd 0.4451 0.8902 0.6684  2 Y 3.60-3.61, 2 Tm 3.61, 4 Sm 3.62-3.64, 4 Nd 3.63-3.64
Nd 0.5549 0.1098 0.3316  2 Y 3.60-3.61, 2 Tm 3.61, 4 Sm 3.62-3.64, 4 Nd 3.63-3.64
Nd 0.2220 0.4440 0.3323  1 Tm 3.62, 3 Y 3.62-3.63, 5 Nd 3.63-3.64, 3 Sm 3.64-3.65
Sm 0.8890 0.7780 0.3309  1 Tm 3.61, 3 Y 3.61-3.62, 7 Nd 3.62-3.65, 1 Sm 3.64
Sm 0.1110 0.2220 0.6691  1 Tm 3.61, 3 Y 3.61-3.62, 7 Nd 3.62-3.65, 1 Sm 3.64
Y 0.6660 0.3321 0.9999  5 Nd 3.60-3.63, 3 Sm 3.61-3.62, 2 Tm 3.62, 2 Y 3.64
Y 0.3340 0.6679 0.0001  5 Nd 3.60-3.63, 3 Sm 3.61-3.62, 2 Tm 3.62, 2 Y 3.64
Tm 0.0000 0.0000 0.0000  2 Sm 3.61, 6 Nd 3.61-3.62, 4 Y 3.62